A relaxed PuAlInCu crystal. Source: Alexandria via LeMat-Bulk, functional PBE-GGA.

Computed properties:
Calculated formation energy, eV per atom: -0.081

```
data_PuAlInCu
_symmetry_space_group_name_H-M 'F -4 3 m'
_symmetry_Int_Tables_number 216
_symmetry_space_group_name_Hall 'F -4 2 3'
_cell_length_a 6.829
_cell_length_b 6.829
_cell_length_c 6.829
_cell_angle_alpha 90.00
_cell_angle_beta 90.00
_cell_angle_gamma 90.00
loop_
_atom_site_label
_atom_site_type_symbol
_atom_site_fract_x
_atom_site_fract_y
_atom_site_fract_z
_atom_site_occupancy
Pu1 Pu 0.000 0.000 0.000 1
Al1 Al 0.250 0.250 0.750 1
In1 In 0.000 0.000 0.500 1
Cu1 Cu 0.250 0.250 0.250 1
```